[1]
Dy12IrAu6 | PBE | optimized geometry

Cell: 8.3513 8.3513 8.3513 Å, 98.62 98.62 98.62°
With the nearest neighbours (Å) after each atom.
Fractional coordinates of all 19 atoms:
Dy  0.0398  0.9316  0.6818  1 Ir 2.71, 2 Au 2.94-3.00
Dy  0.0684  0.3182  0.9602  1 Ir 2.71, 2 Au 2.94-3.00
Dy  0.1822  0.5792  0.4267  4 Au 2.86-3.09
Dy  0.3182  0.9602  0.0684  1 Ir 2.71, 2 Au 2.94-3.00
Dy  0.4208  0.5733  0.8178  4 Au 2.86-3.09
Dy  0.4267  0.1822  0.5792  4 Au 2.86-3.09
Dy  0.5733  0.8178  0.4208  4 Au 2.86-3.09
Dy  0.5792  0.4267  0.1822  4 Au 2.86-3.09
Dy  0.6818  0.0398  0.9316  1 Ir 2.71, 2 Au 2.94-3.00
Dy  0.8178  0.4208  0.5733  4 Au 2.86-3.09
Dy  0.9316  0.6818  0.0398  1 Ir 2.71, 2 Au 2.94-3.00
Dy  0.9602  0.0684  0.3182  1 Ir 2.71, 2 Au 2.94-3.00
Ir  0.0000  0.0000  0.0000  6 Dy 2.71
Au  0.1324  0.3061  0.6222  6 Dy 2.86-3.09
Au  0.3061  0.6222  0.1324  6 Dy 2.86-3.09
Au  0.3778  0.8676  0.6939  6 Dy 2.86-3.09
Au  0.6222  0.1324  0.3061  6 Dy 2.86-3.09
Au  0.6939  0.3778  0.8676  6 Dy 2.86-3.09
Au  0.8676  0.6939  0.3778  6 Dy 2.86-3.09

Calculated values
Symmetry: R-3 (148)
Formation energy in eV/atom: -0.532

[2]
PuPa2Au | PBE | optimized geometry

Cell: 5.0698 5.0698 5.0698 Å, 60.00 60.00 60.00°
With the nearest neighbours (Å) after each atom.
Fractional coordinates of all 4 atoms:
Pu  0.0000  0.0000  0.0000  8 Pa 3.10
Pa  0.2500  0.2500  0.2500  4 Au 3.10, 4 Pu 3.10
Pa  0.7500  0.7500  0.7500  4 Au 3.10, 4 Pu 3.10
Au  0.5000  0.5000  0.5000  8 Pa 3.10

Calculated values
Symmetry: Fm-3m (225)
Formation energy in eV/atom: -0.109
Energy relative to the lowest polymorph listed for this composition in kcal/mol of atoms: 1.37

[3]
ZnPb4Au5 | PBE | optimized geometry

Cell: 6.9801 6.9801 6.9801 Å, 100.43 100.43 129.63°
With the nearest neighbours (Å) after each atom.
Fractional coordinates of all 10 atoms:
Zn  0.0000  0.0000  0.0000  5 Au 2.65-2.67
Pb  0.1876  0.9443  0.6191  6 Au 3.01-3.10, 1 Zn 3.24
Pb  0.3252  0.5685  0.3809  6 Au 3.01-3.10, 1 Zn 3.24
Pb  0.5685  0.1876  0.2433  6 Au 3.01-3.10, 1 Zn 3.24
Pb  0.9443  0.3252  0.7567  6 Au 3.01-3.10, 1 Zn 3.24
Au  0.4459  0.4459  0.0000  1 Zn 2.65, 4 Au 2.93
Au  0.5228  0.8481  0.8503  1 Zn 2.67, 1 Au 2.93
Au  0.6725  0.5228  0.6747  1 Zn 2.67, 1 Au 2.93
Au  0.8481  0.9978  0.3253  1 Zn 2.67, 1 Au 2.93
Au  0.9978  0.6725  0.1497  1 Zn 2.67, 1 Au 2.93

Calculated values
Symmetry: I4 (79)
Formation energy in eV/atom: -0.075

[4]
UTl2SnSe6 | PBE | optimized geometry

Cell: 7.3646 7.5330 12.7747 Å, 90.00 124.19 90.00°
With the nearest neighbours (Å) after each atom.
Fractional coordinates of all 20 atoms:
U  0.0000  0.0000  0.0000  6 Se 2.68-2.71
U  0.0000  0.5000  0.5000  6 Se 2.68-2.71
Tl  0.2733  0.0665  0.7537  6 Se 3.17-3.52
Tl  0.2733  0.4335  0.2537  6 Se 3.17-3.52
Tl  0.7267  0.5665  0.7463  6 Se 3.17-3.52
Tl  0.7267  0.9335  0.2463  6 Se 3.17-3.52
Sn  0.5000  0.0000  0.5000  6 Se 2.76-2.79
Sn  0.5000  0.5000  0.0000  6 Se 2.76-2.79
Se  0.1507  0.0107  0.2470  1 U 2.69, 1 Sn 2.78
Se  0.1507  0.4893  0.7470  1 U 2.69, 1 Sn 2.78
Se  0.2414  0.7065  0.0497  1 U 2.68, 1 Sn 2.79
Se  0.2414  0.7935  0.5497  1 U 2.68, 1 Sn 2.79
Se  0.3454  0.1913  0.0405  1 U 2.71, 1 Sn 2.76
Se  0.3454  0.3087  0.5405  1 U 2.71, 1 Sn 2.76
Se  0.6546  0.6913  0.4595  1 U 2.71, 1 Sn 2.76
Se  0.6546  0.8087  0.9595  1 U 2.71, 1 Sn 2.76
Se  0.7586  0.2065  0.4503  1 U 2.68, 1 Sn 2.79
Se  0.7586  0.2935  0.9503  1 U 2.68, 1 Sn 2.79
Se  0.8493  0.5107  0.2530  1 U 2.69, 1 Sn 2.78
Se  0.8493  0.9893  0.7530  1 U 2.69, 1 Sn 2.78

Calculated values
Symmetry: P2_1/c (14)
E_form (uncorrected) in eV/atom: -0.515

[5]
La3TbAu4 | PBE | optimized geometry

Cell: 3.7188 3.7188 15.0979 Å, 90.00 90.00 90.00°
With the nearest neighbours (Å) after each atom.
Fractional coordinates of all 8 atoms:
La  0.0000  0.0000  0.0000  8 Au 3.25
La  0.0000  0.0000  0.2547  8 Au 3.26-3.33
La  0.0000  0.0000  0.7453  8 Au 3.26-3.33
Tb  0.0000  0.0000  0.5000  8 Au 3.11
Au  0.5000  0.5000  0.1268  8 La 3.25-3.26
Au  0.5000  0.5000  0.3896  4 Tb 3.11, 4 La 3.33, 1 Au 3.33
Au  0.5000  0.5000  0.6104  4 Tb 3.11, 4 La 3.33, 1 Au 3.33
Au  0.5000  0.5000  0.8732  8 La 3.25-3.26

Calculated values
Symmetry: P4/mmm (123)
Formation energy in eV/atom: -0.795

[6]
PdRuN2O | PBE | optimized geometry

Cell: 3.8681 3.8681 3.8604 Å, 90.00 90.00 90.00°
With the nearest neighbours (Å) after each atom.
Fractional coordinates of all 5 atoms:
Pd  0.0000  0.0000  0.0000  8 N 2.73, 4 O 2.74
Ru  0.5000  0.5000  0.5000  2 O 1.93, 4 N 1.93
N  0.0000  0.5000  0.5000  2 Ru 1.93
N  0.5000  0.0000  0.5000  2 Ru 1.93
O  0.5000  0.5000  0.0000  2 Ru 1.93

Calculated values
Symmetry: P4/mmm (123)
E_form (uncorrected) in eV/atom: 0.877

Number 1: DFT total energy -4.94 eV per atom. Number 2: DFT total energy -9.26 eV per atom. Number 3: DFT total energy -3.32 eV per atom. Number 4: DFT total energy -4.61 eV per atom. Number 5: DFT total energy -4.86 eV per atom. Number 6: DFT total energy -6.34 eV per atom.